Material: NpTiSi2
Method: DFT, GGA-PBE
State: relaxed

Summary:
Volume   19.35 Å³ per atom
Formation energy from raw total energies   -0.152 eV per atom
Symmetry   R-3m (166)

extended XYZ file:
```
4
Lattice="-1.2061 -2.4845 2.3684 2.3534 -2.2208 1.6632 1.0465 2.8964 6.3658" Properties=species:S:1:pos:R:3 pbc="T T T"
Ti 0.0000 0.0000 0.0000
Si 1.6667 -1.2136 7.9591
Si 0.5272 -0.5954 2.4383
Np 1.0969 -0.9045 5.1987
```

Material: Li2IrCl
Method: DFT, GGA-PBE
State: relaxed

Summary:
Volume   16.37 Å³ per atom
Excess energy over the best structure of this formula in the dataset   0.779 eV/atom
Formation energy from raw total energies   0.195 eV per atom
Symmetry   Fm-3m (225)

extended XYZ file:
```
4
Lattice="0.0000 3.1990 3.1990 3.1990 0.0000 3.1990 3.1990 3.1990 0.0000" Properties=species:S:1:pos:R:3 pbc="T T T"
Ir 3.1990 3.1990 3.1990
Li 4.7985 4.7985 4.7985
Li 1.5995 1.5995 1.5995
Cl 0.0000 0.0000 0.0000
```

Material: Sr2Pm2S5
Method: DFT, GGA-PBE
State: relaxed

Summary:
Volume   24.54 Å³ per atom
Formation energy from raw total energies   -2.078 eV per atom
Symmetry   Cmce (64)

extended XYZ file:
```
18
Lattice="7.8097 0.0000 0.0000 0.0000 7.7788 0.0000 0.0000 -3.8894 7.2713" Properties=species:S:1:pos:R:3 pbc="T T T"
Pm 2.6440 1.2502 0.0000
Pm 1.2609 5.1396 0.0000
Pm 5.1657 6.5285 0.0000
Pm 6.5488 2.6391 0.0000
S 5.0774 1.1854 1.8800
S 2.7323 6.5933 1.8800
S 3.9048 3.8894 0.0000
S 1.1726 2.7040 1.8800
S 0.0000 0.0000 0.0000
S 1.1726 -1.1854 5.3913
S 5.0774 -2.7040 5.3913
S 6.6371 5.0748 1.8800
S 6.6371 1.1854 5.3913
S 2.7323 2.7040 5.3913
Sr 0.0000 3.8894 4.3746
Sr 3.9048 0.0000 4.3746
Sr 0.0000 0.0000 2.8967
Sr 3.9048 3.8894 2.8967
```

Material: Pr2SiAgO6
Method: DFT, GGA-PBE
State: relaxed

Summary:
Volume   13.60 Å³ per atom
Formation energy from raw total energies   -2.357 eV per atom
Symmetry   P4mm (99)

extended XYZ file:
```
10
Lattice="4.5796 0.0000 0.0000 0.0000 5.4490 0.0000 0.0000 0.0000 5.4490" Properties=species:S:1:pos:R:3 pbc="T T T"
O 0.5070 2.7245 2.7245
O 3.2703 4.2601 1.1889
O 1.0988 0.0000 0.0000
O 3.2703 4.2601 4.2601
O 3.2703 1.1889 4.2601
O 3.2703 1.1889 1.1889
Si 2.7599 0.0000 0.0000
Pr 0.1193 2.7245 0.0000
Pr 0.1193 0.0000 2.7245
Ag 2.6792 2.7245 2.7245
```

Material: IrSe2Cl
Method: DFT, GGA-PBE
State: relaxed

Summary:
Volume   18.70 Å³ per atom
Excess energy over the best structure of this formula in the dataset   0.792 eV/atom
Formation energy from raw total energies   0.535 eV per atom
Symmetry   I4/mmm (139)

extended XYZ file:
```
4
Lattice="4.5982 0.0139 0.0233 -1.6343 4.2989 -0.0245 1.3296 2.2626 3.7773" Properties=species:S:1:pos:R:3 pbc="T T T"
Ir 1.4820 2.1564 -0.0006
Se 0.0000 0.0000 0.0000
Se 2.9639 1.1383 1.9003
Cl -0.1524 3.2808 1.8764
```

Material: ZnSn2Pd
Method: DFT, GGA-PBE
State: relaxed

Summary:
Volume   22.12 Å³ per atom
Symmetry   I-42d (122)
ΔE_f   -55.4 meV per atom

extended XYZ file:
```
8
Lattice="4.4499 0.0000 0.0000 0.0000 4.4499 0.0000 2.2249 2.2249 8.9361" Properties=species:S:1:pos:R:3 pbc="T T T"
Sn 3.3374 3.3031 6.7021
Sn 3.3718 1.1125 2.2340
Sn 5.5624 5.5967 6.7021
Sn 1.0781 3.3374 2.2340
Pd 4.4499 2.2249 4.4681
Pd 0.0000 0.0000 0.0000
Zn 2.2249 4.4499 4.4681
Zn 2.2249 2.2249 0.0000
```

Material: Ca2YRh
Method: DFT, GGA-PBE
State: relaxed

Summary:
Volume   25.81 Å³ per atom
Excess energy over the best structure of this formula in the dataset   0.277 eV/atom
Symmetry   P4/mmm (123)
ΔE_f   -67.5 meV per atom

extended XYZ file:
```
4
Lattice="4.3911 0.0000 0.0000 0.0000 4.3918 0.0000 0.0000 0.0000 5.3535" Properties=species:S:1:pos:R:3 pbc="T T T"
Ca 2.1955 2.1959 0.0000
Ca 0.0000 0.0000 0.0000
Y 0.0000 2.1959 2.6767
Rh 2.1955 0.0000 2.6767
```

Which of these has the highest volume? Ca2YRh

The lowest volume belongs to which entry? Pr2SiAgO6

Look up the volume of the seventh one. 25.81 Å³ per atom

Which value of volume does entry 2 give? 16.37 Å³ per atom